DFT (PBE) results for Cs2GeTe3 after structural relaxation.

Cell lengths 8.007, 8.733, 8.733 Å; angles 67.96, 81.25, 81.25 degrees
Fractional positions:
Ge: 0.250 0.081 0.919
Ge: 0.750 0.919 0.081
Te: 0.250 0.345 0.655
Te: 0.478 0.835 0.913
Te: 0.978 0.913 0.835
Te: 0.750 0.655 0.345
Te: 0.522 0.165 0.087
Te: 0.022 0.087 0.165
Cs: 0.315 0.821 0.498
Cs: 0.815 0.498 0.821
Cs: 0.185 0.502 0.179
Cs: 0.685 0.179 0.502

Summary:
- Offset from the most stable computed form: 65 meV/atom